# CdBiOsN2

An optimized crystal structure of CdBiOsN2 (PBE-GGA, Alexandria).

Output
Raw total energy   -21.3 eV/cell
Density of states at the Fermi level   1.346 states/eV per atom

a b c (Å): 4.3246 4.3246 5.4403
angles (deg): 90.00 90.00 90.00
Space group P4/mmm (No. 123)
One atom of each set of equivalent atoms:
Cd: 0.0000 0.0000 0.0000 x1
Bi: 0.5000 0.5000 0.5000 x1
Os: 0.5000 0.5000 0.0000 x1
N: 0.0000 0.5000 0.5000 x2